Record 1
VASP calculation (PBE-GGA) on an optimized crystal structure of PmHo2Bi.

abc: 4.8622 4.9024 4.9024
angles: 90.00 90.00 90.00
Atoms (fractional coordinates):
Pm 0.5000 0.5000 0.5000
Ho 0.0000 0.0000 0.5000
Ho 0.0000 0.5000 0.0000
Bi 0.5000 0.0000 0.0000

Properties
The calculation puts the relative energy among the computed polymorphs at 0.1021 eV per atom. As for the space group: No. 123. For the electronic total energy, the calculation gives -4.80 eV per atom. The formation energy from the elements comes out at -34.22 kJ/mol of atoms.

Record 2
VASP calculation (PBE-GGA) on an optimized crystal structure of Ti6Tl2O.

abc: 5.9425 5.9425 5.9435
angles: 59.99 59.99 60.01
Atoms (fractional coordinates):
O 0.5000 0.5000 0.5000
Ti 0.7599 0.2402 0.7599
Ti 0.7598 0.2401 0.2401
Ti 0.7599 0.7599 0.2402
Ti 0.2401 0.2401 0.7598
Ti 0.2402 0.7599 0.7599
Ti 0.2401 0.7598 0.2401
Tl 0.2500 0.2500 0.2499
Tl 0.7500 0.7500 0.7501

Properties
The calculation puts the relative energy among the computed polymorphs at 0.0170 eV per atom. As for the space group: No. 225. For the electronic total energy, the calculation gives -6.93 eV per atom. The value obtained for the formation energy from raw total energies is -0.589 eV/atom.

Record 3
VASP calculation (PBE-GGA) on an optimized crystal structure of LaPd4.

abc: 5.7335 6.0680 6.0680
angles: 107.44 90.00 90.00
Atoms (fractional coordinates):
La 0.2500 0.2488 0.7512
La 0.7500 0.7512 0.2488
Pd 0.2500 0.5319 0.4681
Pd 0.2500 0.8029 0.1971
Pd 0.0000 0.1876 0.1876
Pd 0.7500 0.1971 0.8029
Pd 0.7500 0.4681 0.5319
Pd 0.0000 0.8124 0.8124
Pd 0.5000 0.1876 0.1876
Pd 0.5000 0.8124 0.8124

Properties
As for the space group: No. 63. For the electronic total energy, the calculation gives -5.64 eV per atom. The formation energy from the elements comes out at -48.52 kJ/mol of atoms.

Record 4
VASP calculation (PBE-GGA) on an optimized crystal structure of Cu4OsRu.

abc: 4.7332 4.7332 4.7332
angles: 60.00 60.00 60.00
Each line ends with the local moment (μB).
Atoms (fractional coordinates):
Cu 0.3751 0.3751 0.8747  0.03
Cu 0.3751 0.3751 0.3751  0.03
Cu 0.8747 0.3751 0.3751  0.03
Cu 0.3751 0.8747 0.3751  0.03
Os 0.7500 0.7500 0.7500  0.50
Ru 0.0000 0.0000 0.0000  0.72

Properties
As for the space group: No. 216. For the electronic total energy, the calculation gives -5.79 eV per atom. The formation energy from the elements comes out at 34.88 kJ/mol of atoms.

electronic total energy of number 4 (Cu4OsRu)?
-5.79 eV per atom

Among the records above, which one has the lowest electronic total energy?
Ti6Tl2O

What is the formula in the second record?
Ti6Tl2O